The following is a PBE calculation of crystalline VPtPb2W at its relaxed geometry, from Alexandria.

Cell lengths 5.2760, 4.9740, 5.2760 Å; angles 90.00, 90.00, 90.00 degrees
Last column: nearest neighbours and their distance in Å.
Sites, in units of the cell vectors:
V1 0.5000 0.5000 0.5000  8 Pb 3.63, 4 W 3.73
Pb1 0.5000 0.0000 0.0000  2 Pt 2.64
Pb2 0.0000 0.0000 0.5000  2 Pt 2.64
W1 0.0000 0.5000 0.0000  2 Pt 2.49
Pt1 0.0000 0.0000 0.0000  2 W 2.49, 4 Pb 2.64

Calculated values
Calculated density = 10.125 g/cm³
V = 138.5 Å³/cell
Total magnetic moment = 2.49 μB per formula unit
Space group = P4/mmm
Total DFT energy (no corrections) = -26.97 eV/cell